LiCuTcSeS2 (GGA-PBE, optimized geometry); electronic total energy = -5.043 eV/atom; SG = Cmcm (63)
1.0
1.096 2.279 -6.034
-4.097 -1.733 4.798
0.219 8.849 3.383
Li Tc S Cu Se
2 2 4 2 2
direct
0.224 0.776 0.750 Li
0.776 0.224 0.250 Li
0.000 0.000 0.500 Tc
0.000 0.000 0.000 Tc
0.364 0.636 0.449 S
0.636 0.364 0.949 S
0.636 0.364 0.551 S
0.364 0.636 0.051 S
0.545 0.455 0.750 Cu
0.455 0.545 0.250 Cu
0.098 0.902 0.250 Se
0.902 0.098 0.750 Se